No. 1
# Rb3Pt2 PBE-GGA relaxed
# Formation energy   0.33 eV per atom
# Volume   39.131 Å³ per atom
# Total DFT energy (no corrections)   -2.67 eV per atom
# Polymorph energy (0 for the lowest one)   0.202 eV/atom
data_Rb3Pt2
_chemical_formula_sum 'Rb3 Pt2'
_symmetry_space_group_name_H-M 'P -3 m 1'
_symmetry_Int_Tables_number 164
_symmetry_space_group_name_Hall '-P 3 2"'
_cell_length_a 5.6949
_cell_length_b 5.6949
_cell_length_c 6.9659
_cell_angle_alpha 90.00
_cell_angle_beta 90.00
_cell_angle_gamma 120.00
loop_
_atom_site_label
_atom_site_type_symbol
_atom_site_fract_x
_atom_site_fract_y
_atom_site_fract_z
Rb1 Rb 0.0000 0.0000 0.0000
Rb2 Rb 0.3333 0.6667 0.3223
Pt1 Pt 0.3333 0.6667 0.8359

No. 2
# Rb4Pt5 PBE-GGA relaxed
# Formation energy   0.51 eV per atom
# Volume   38.399 Å³ per atom
# Total DFT energy (no corrections)   -3.28 eV per atom
# Polymorph energy (0 for the lowest one)   0.000 eV/atom
data_Rb4Pt5
_chemical_formula_sum 'Rb8 Pt10'
_symmetry_space_group_name_H-M 'I 4/m m m'
_symmetry_Int_Tables_number 139
_symmetry_space_group_name_Hall '-I 4 2'
_cell_length_a 15.4112
_cell_length_b 15.4112
_cell_length_c 2.9102
_cell_angle_alpha 90.00
_cell_angle_beta 90.00
_cell_angle_gamma 90.00
loop_
_atom_site_label
_atom_site_type_symbol
_atom_site_fract_x
_atom_site_fract_y
_atom_site_fract_z
Rb1 Rb 0.0000 0.2102 0.0000
Pt1 Pt 0.0000 0.0000 0.0000
Pt2 Pt 0.2005 0.2005 0.5000

No. 3
# RbPt2 PBE-GGA relaxed
# Formation energy   -0.05 eV per atom
# Volume   24.951 Å³ per atom
# Total DFT energy (no corrections)   -4.40 eV per atom
data_RbPt2
_chemical_formula_sum 'Rb4 Pt8'
_symmetry_space_group_name_H-M 'C 1 2/m 1'
_symmetry_Int_Tables_number 12
_cell_length_a 12.6085
_cell_length_b 2.8550
_cell_length_c 8.8664
_cell_angle_alpha 90.00
_cell_angle_beta 110.27
_cell_angle_gamma 90.00
loop_
_symmetry_equiv_pos_as_xyz
'x,y,z'
'-x,-y,-z'
'-x,y,-z'
'x,-y,z'
'x+1/2,y+1/2,z'
'-x+1/2,-y+1/2,-z'
'-x+1/2,y+1/2,-z'
'x+1/2,-y+1/2,z'
loop_
_atom_site_label
_atom_site_type_symbol
_atom_site_fract_x
_atom_site_fract_y
_atom_site_fract_z
Rb1 Rb 0.0000 0.0000 0.0000
Rb2 Rb 0.0000 0.5000 0.5000
Pt1 Pt 0.2311 0.0000 0.3670
Pt2 Pt 0.2395 0.0000 0.8687

- The highest formation energy belongs to which entry?
  Rb4Pt5

What did the third record say?
# RbPt2 PBE-GGA relaxed
# Formation energy   -0.05 eV per atom
# Volume   24.951 Å³ per atom
# Total DFT energy (no corrections)   -4.40 eV per atom
data_RbPt2
_chemical_formula_sum 'Rb4 Pt8'
_symmetry_space_group_name_H-M 'C 1 2/m 1'
_symmetry_Int_Tables_number 12
_cell_length_a 12.6085
_cell_length_b 2.8550
_cell_length_c 8.8664
_cell_angle_alpha 90.00
_cell_angle_beta 110.27
_cell_angle_gamma 90.00
loop_
_symmetry_equiv_pos_as_xyz
'x,y,z'
'-x,-y,-z'
'-x,y,-z'
'x,-y,z'
'x+1/2,y+1/2,z'
'-x+1/2,-y+1/2,-z'
'-x+1/2,y+1/2,-z'
'x+1/2,-y+1/2,z'
loop_
_atom_site_label
_atom_site_type_symbol
_atom_site_fract_x
_atom_site_fract_y
_atom_site_fract_z
Rb1 Rb 0.0000 0.0000 0.0000
Rb2 Rb 0.0000 0.5000 0.5000
Pt1 Pt 0.2311 0.0000 0.3670
Pt2 Pt 0.2395 0.0000 0.8687

- What is the total DFT energy (no corrections) in the third record?
  -4.40 eV per atom